Entry 1:
DFT (PBE) results for a geometry-optimized SbBrCl2 structure.

abc: 6.6203 4.0303 7.1462
angles: 90.00 109.49 90.00
Last column: nearest neighbours and their distance in Å.
Space group Pm (No. 6)
Asymmetric unit:
Sb 0.0000 0.0000 0.0000  1 Cl 2.35
Br 0.1453 0.5000 0.7933  2 Sb 2.85
Cl 0.3283 0.0000 0.2632  1 Sb 2.35
Cl 0.8519 0.5000 0.1711  2 Sb 2.70

Formation energy without anion corrections in meV per atom: -747
Size of the total moment in μB per formula unit: 0.000

Entry 2:
DFT (PBE) results for a geometry-optimized Pm4Y2Ho structure.

abc: 5.3316 11.4214 15.5815
angles: 90.00 90.00 90.00
Last column: nearest neighbours and their distance in Å.
Space group Cmce (No. 64)
Asymmetric unit:
Pm 0.0000 0.1012 0.1936  4 Pm 3.19-3.50, 1 Ho 3.23, 2 Y 3.31-3.40
Pm 0.0000 0.2061 0.4300  5 Pm 3.50-3.87, 3 Ho 3.53-3.72, 4 Y 3.69-3.80
Y 0.0000 0.1050 0.6569  6 Pm 3.31-3.69
Ho 0.0000 0.0000 0.0000  4 Pm 3.23-3.53

Size of the total moment in μB per formula unit: 0.000
ΔE_f in kcal/mol of atoms: 3.60

Entry 3:
DFT (PBE) results for a geometry-optimized BaZr2Br structure.

abc: 3.4729 6.8629 5.2429
angles: 90.00 90.24 90.00
Last column: nearest neighbours and their distance in Å.
Space group P2/m (No. 10)
Asymmetric unit:
Ba 0.0000 0.0000 0.0000  4 Br 3.14-3.15, 2 Ba 3.47
Zr 0.3029 0.5000 0.2257  1 Zr 2.74
Br 0.5000 0.0000 0.5000  4 Ba 3.14-3.15, 2 Br 3.47

Formation energy without anion corrections in meV per atom: 41
Size of the total moment in μB per formula unit: 0.000

Entry 4:
DFT (PBE) results for a geometry-optimized Ni4C structure.

abc: 3.7726 3.7726 3.7726
angles: 90.00 90.00 90.00
Last column: nearest neighbours and their distance in Å.
Space group P-43m (No. 215)
Asymmetric unit:
Ni 0.2314 0.2314 0.7686  1 C 1.76
C 0.5000 0.5000 0.5000  4 Ni 1.76

Size of the total moment in μB per formula unit: 0.000
ΔE_f in kcal/mol of atoms: 8.74